1.
Density functional theory data (PBE) for an optimized crystal structure of Pr2MgPt.

Output
M_tot = 0.0 μB per formula unit
space group = R-3m, No. 166
DOS(E_F) = 3.8 states/eV per cell
energy above the lowest structure with this stoichiometry = 307 meV per atom

Unit cell a=4.1985 b=4.1985 c=10.4257 alpha=78.38 beta=78.38 gamma=60.00
Positions (direct):
1 Pr 0.1152 0.1152 0.6545
2 Pr 0.8848 0.8848 0.3455
3 Mg 0.0000 0.0000 0.0000
4 Pt 0.5000 0.5000 0.5000


2.
Density functional theory data (PBE) for an optimized crystal structure of Al2CdBr.

Output
M_tot = 0.0 μB per formula unit
space group = Cmm2, No. 35
E_form (uncorrected) = 0.054 eV per atom
DOS(E_F) = 1.3 states/eV per cell
energy above the lowest structure with this stoichiometry = 7 meV per atom

Unit cell a=3.2588 b=3.2588 c=10.2317 alpha=90.00 beta=90.00 gamma=117.41
Positions (direct):
1 Al 0.0000 0.0000 0.0316
2 Al 0.5000 0.5000 0.2437
3 Br 0.0000 0.0000 0.4302
4 Cd 0.5000 0.5000 0.7945


3.
Density functional theory data (PBE) for an optimized crystal structure of SiRh2Se.

Output
M_tot = 0.0 μB per formula unit
space group = C2/m, No. 12
E_form (uncorrected) = -0.029 eV per atom
DOS(E_F) = 3.2 states/eV per cell
energy above the lowest structure with this stoichiometry = 448 meV per atom

Unit cell a=4.9188 b=4.9188 c=4.0081 alpha=66.43 beta=66.43 gamma=110.51
Positions (direct):
1 Rh 0.0000 0.0000 0.0000
2 Rh 0.5000 0.5000 0.0000
3 Se 0.5000 0.0000 0.5000
4 Si 0.0000 0.5000 0.5000


4.
Density functional theory data (PBE) for an optimized crystal structure of PuBH2.

Output
M_tot = 1.8 μB per formula unit
DFT total energy = -6.1895 eV per atom
space group = R-3m, No. 166
DOS(E_F) = 3.1 states/eV per cell

Unit cell a=2.7129 b=2.7129 c=5.1798 alpha=74.82 beta=74.82 gamma=60.00
Positions (direct):
1 H 0.1372 0.1372 0.5883
2 H 0.8628 0.8628 0.4117
3 B 0.5000 0.5000 0.5000
4 Pu 0.0000 0.0000 0.0000


5.
Density functional theory data (PBE) for an optimized crystal structure of ZnCd2Si.

Output
M_tot = 0.0 μB per formula unit
space group = P4/mmm, No. 123
E_form (uncorrected) = 0.291 eV per atom
DOS(E_F) = 1.7 states/eV per cell
energy above the lowest structure with this stoichiometry = 68 meV per atom

Unit cell a=4.1734 b=4.3265 c=4.3265 alpha=90.00 beta=90.00 gamma=90.00
Positions (direct):
1 Cd 0.0000 0.0000 0.0000
2 Cd 0.0000 0.5000 0.5000
3 Si 0.5000 0.5000 0.0000
4 Zn 0.5000 0.0000 0.5000


6.
Density functional theory data (PBE) for an optimized crystal structure of KAgW.

Output
M_tot = 4.2 μB per formula unit
space group = F-43m, No. 216
DOS(E_F) = 0.8 states/eV per cell
energy above the lowest structure with this stoichiometry = 1132 meV per atom

Unit cell a=5.0322 b=5.0322 c=5.0322 alpha=60.00 beta=60.00 gamma=60.00
Positions (direct):
1 Ag 0.7500 0.7500 0.7500
2 K 0.0000 0.0000 0.0000
3 W 0.5000 0.5000 0.5000


7.
Density functional theory data (PBE) for an optimized crystal structure of LiPNCl2.

Output
M_tot = 0.1 μB per formula unit
space group = P4/mmm, No. 123
E_form (uncorrected) = 1.079 eV per atom
DOS(E_F) = 3.7 states/eV per cell
energy above the lowest structure with this stoichiometry = 868 meV per atom

Unit cell a=4.3024 b=4.3024 c=7.2977 alpha=90.00 beta=90.00 gamma=90.00
Positions (direct):
1 P 0.0000 0.0000 0.5000
2 N 0.5000 0.5000 0.5000
3 Li 0.0000 0.0000 0.0000
4 Cl 0.0000 0.5000 0.0000
5 Cl 0.5000 0.0000 0.0000


8.
Density functional theory data (PBE) for an optimized crystal structure of Co2Ni2Pd.

Output
M_tot = 5.4 μB per formula unit
space group = P4/mbm, No. 127
DOS(E_F) = 18.4 states/eV per cell
energy above the lowest structure with this stoichiometry = 0 meV per atom

Unit cell a=6.8624 b=6.8624 c=2.5866 alpha=90.00 beta=90.00 gamma=90.00
Positions (direct):
1 Ni 0.3760 0.8760 0.0000
2 Ni 0.8760 0.6240 0.0000
3 Ni 0.6240 0.1240 0.0000
4 Ni 0.1240 0.3760 0.0000
5 Co 0.1715 0.6715 0.5000
6 Co 0.6715 0.8285 0.5000
7 Co 0.8285 0.3285 0.5000
8 Co 0.3285 0.1715 0.5000
9 Pd 0.0000 0.0000 0.0000
10 Pd 0.5000 0.5000 0.0000


Q: DOS(E_F) of number 5 (ZnCd2Si)?
A: 1.7 states/eV per cell


Q: The highest DOS(E_F) belongs to which entry?
A: Co2Ni2Pd